The following is a PBE calculation of crystalline BaTlSi2 at its relaxed geometry, from Alexandria via LeMat-Bulk.

Cell and atoms, written as CIF:
```
data_BaTlSi2
_symmetry_space_group_name_H-M 'F m -3 m'
_symmetry_Int_Tables_number 225
_symmetry_space_group_name_Hall '-F 4 2 3'
_cell_length_a 7.5526
_cell_length_b 7.5526
_cell_length_c 7.5526
_cell_angle_alpha 90.00
_cell_angle_beta 90.00
_cell_angle_gamma 90.00
loop_
_atom_site_label
_atom_site_fract_x
_atom_site_fract_y
_atom_site_fract_z
_atom_site_occupancy
Ba1 0.0000 0.0000 0.0000 1
Tl1 0.0000 0.0000 0.5000 1
Si1 0.2500 0.2500 0.2500 1
```

Calculated values
- Formation energy from raw total energies: 327 meV/atom
- DOS at the Fermi energy: 11.85 states/eV/cell
- Polymorph energy (0 for the lowest one): 455 meV per atom